[1]
Density functional theory data (PBE-GGA) for LiFeCo2Pt after structural relaxation.

Cell lengths 4.6135, 4.6135, 4.3041 Å; angles 90.00, 90.00, 90.00 degrees
Fractional positions:
Li: 0.0000 0.0000 0.0000
Fe: 0.5000 0.5000 0.0000
Co: 0.0000 0.5000 0.5000
Co: 0.5000 0.0000 0.5000
Pt: 0.0000 0.0000 0.5000

Calculated values
Formation enthalpy at 0 K: 1085 meV per atom
M_tot: 7.47 μB per cell
Calculated volume: 91.6 Å³ per cell
ρ: 6811 kg/m³
E: -25.205 eV/cell

***

[2]
Density functional theory data (PBE-GGA) for Li10Mg3Tl3 after structural relaxation.

Cell lengths 8.3404, 8.3404, 5.4855 Å; angles 90.00, 90.00, 120.00 degrees
Fractional positions:
Li: 0.0000 0.2373 0.0000
Li: 0.0000 0.7698 0.5000
Li: 0.2302 0.2302 0.5000
Li: 0.2373 0.0000 0.0000
Li: 0.3333 0.6667 0.2399
Li: 0.3333 0.6667 0.7601
Li: 0.6667 0.3333 0.2399
Li: 0.6667 0.3333 0.7601
Li: 0.7627 0.7627 0.0000
Li: 0.7698 0.0000 0.5000
Mg: 0.0000 0.4135 0.5000
Mg: 0.4135 0.0000 0.5000
Mg: 0.5865 0.5865 0.5000
Tl: 0.0000 0.6054 0.0000
Tl: 0.3946 0.3946 0.0000
Tl: 0.6054 0.0000 0.0000

Calculated values
Formation enthalpy at 0 K: -96 meV per atom
M_tot: 0.00 μB per cell
Calculated volume: 330.5 Å³ per cell
ρ: 3796 kg/m³
E: -32.551 eV/cell

***

[3]
Density functional theory data (PBE-GGA) for MgSbOs2 after structural relaxation.

Cell lengths 2.9494, 2.9494, 8.3643 Å; angles 90.00, 90.00, 90.00 degrees
Fractional positions:
Mg: 0.0000 0.0000 0.0000
Sb: 0.5000 0.5000 0.6718
Os: 0.0000 0.0000 0.4151
Os: 0.5000 0.5000 0.2254

Calculated values
M_tot: 0.00 μB per cell
Formation energy from raw total energies: 0.25 eV/atom
Calculated volume: 72.8 Å³ per cell
ρ: 12016 kg/m³
E: -27.173 eV/cell

***

[4]
Density functional theory data (PBE-GGA) for CeYScCd after structural relaxation.

Cell lengths 7.5903, 7.5903, 7.5903 Å; angles 90.00, 90.00, 90.00 degrees
Fractional positions:
Ce: 0.0000 0.0000 0.0000
Ce: 0.0000 0.5000 0.5000
Ce: 0.5000 0.0000 0.5000
Ce: 0.5000 0.5000 0.0000
Y: 0.0000 0.0000 0.5000
Y: 0.0000 0.5000 0.0000
Y: 0.5000 0.0000 0.0000
Y: 0.5000 0.5000 0.5000
Sc: 0.2500 0.2500 0.7500
Sc: 0.2500 0.7500 0.2500
Sc: 0.7500 0.2500 0.2500
Sc: 0.7500 0.7500 0.7500
Cd: 0.2500 0.2500 0.2500
Cd: 0.2500 0.7500 0.7500
Cd: 0.7500 0.2500 0.7500
Cd: 0.7500 0.7500 0.2500

Calculated values
Formation enthalpy at 0 K: -13 meV per atom
M_tot: 6.36 μB per cell
Calculated volume: 437.3 Å³ per cell
ρ: 5869 kg/m³
E: -78.779 eV/cell

***

[5]
Density functional theory data (PBE-GGA) for LaTcAg after structural relaxation.

Cell lengths 2.9855, 4.1512, 10.4249 Å; angles 90.00, 90.00, 90.00 degrees
Fractional positions:
La: 0.0000 0.0000 0.0000
La: 0.5000 0.5000 0.5000
Tc: 0.0000 0.0000 0.6780
Tc: 0.5000 0.5000 0.1780
Ag: 0.0000 0.0000 0.2990
Ag: 0.5000 0.5000 0.7990

Calculated values
Formation enthalpy at 0 K: 440 meV per atom
M_tot: 0.00 μB per cell
Calculated volume: 129.2 Å³ per cell
ρ: 8862 kg/m³
E: -33.649 eV/cell
Energy above the lowest structure with this stoichiometry: 19 meV/atom

***

[6]
Density functional theory data (PBE-GGA) for NaCu2As after structural relaxation.

Cell lengths 4.2113, 7.1885, 5.6943 Å; angles 90.00, 111.68, 90.00 degrees
Fractional positions:
Na: 0.0397 0.2500 0.0783
Na: 0.9603 0.7500 0.9217
Cu: 0.2398 0.5786 0.4797
Cu: 0.2398 0.9214 0.4797
Cu: 0.7602 0.0786 0.5203
Cu: 0.7602 0.4214 0.5203
As: 0.3255 0.2500 0.6512
As: 0.6745 0.7500 0.3488

Calculated values
Formation enthalpy at 0 K: -122 meV per atom
M_tot: 0.00 μB per cell
Calculated volume: 160.2 Å³ per cell
ρ: 4665 kg/m³
E: -29.295 eV/cell

***

[7]
Density functional theory data (PBE-GGA) for BaLaMg after structural relaxation.

Cell lengths 8.2115, 8.2115, 8.2115 Å; angles 90.00, 90.00, 90.00 degrees
Fractional positions:
Ba: 0.0000 0.0000 0.0000
Ba: 0.0000 0.5000 0.5000
Ba: 0.5000 0.0000 0.5000
Ba: 0.5000 0.5000 0.0000
La: 0.0000 0.0000 0.5000
La: 0.0000 0.5000 0.0000
La: 0.5000 0.0000 0.0000
La: 0.5000 0.5000 0.5000
Mg: 0.2500 0.2500 0.7500
Mg: 0.2500 0.7500 0.2500
Mg: 0.7500 0.2500 0.2500
Mg: 0.7500 0.7500 0.7500

Calculated values
Formation enthalpy at 0 K: 359 meV per atom
M_tot: 3.24 μB per cell
Calculated volume: 553.7 Å³ per cell
ρ: 3605 kg/m³
E: -29.475 eV/cell
Energy above the lowest structure with this stoichiometry: 329 meV/atom

***

[8]
Density functional theory data (PBE-GGA) for ZrZnCr after structural relaxation.

Cell lengths 6.3703, 6.3703, 6.3703 Å; angles 90.00, 90.00, 90.00 degrees
Fractional positions:
Zr: 0.0000 0.0000 0.0000
Zr: 0.0000 0.5000 0.5000
Zr: 0.5000 0.0000 0.5000
Zr: 0.5000 0.5000 0.0000
Zn: 0.2500 0.2500 0.2500
Zn: 0.2500 0.7500 0.7500
Zn: 0.7500 0.2500 0.7500
Zn: 0.7500 0.7500 0.2500
Cr: 0.2500 0.2500 0.7500
Cr: 0.2500 0.7500 0.2500
Cr: 0.7500 0.2500 0.2500
Cr: 0.7500 0.7500 0.7500

Calculated values
Formation enthalpy at 0 K: 865 meV per atom
M_tot: 15.13 μB per cell
Calculated volume: 258.5 Å³ per cell
ρ: 5360 kg/m³
E: -67.403 eV/cell

***

[9]
Density functional theory data (PBE-GGA) for AlSnTe2I after structural relaxation.

Cell lengths 5.7197, 5.7197, 6.1188 Å; angles 90.00, 90.00, 90.00 degrees
Fractional positions:
Al: 0.0000 0.0000 0.0000
Sn: 0.5000 0.5000 0.5000
Te: 0.0000 0.5000 0.5000
Te: 0.5000 0.0000 0.5000
I: 0.5000 0.5000 0.0000

Calculated values
M_tot: 0.00 μB per cell
Formation energy from raw total energies: 0.33 eV/atom
Calculated volume: 200.2 Å³ per cell
ρ: 4378 kg/m³
E: -13.937 eV/cell
Energy above the lowest structure with this stoichiometry: 270 meV/atom

***

[10]
Density functional theory data (PBE-GGA) for KNa3Cd after structural relaxation.

Cell lengths 10.5005, 10.5005, 7.8269 Å; angles 100.86, 100.86, 67.47 degrees
Fractional positions:
K: 0.0352 0.9648 0.7500
K: 0.3590 0.6410 0.2500
K: 0.6410 0.3590 0.7500
K: 0.9648 0.0352 0.2500
Na: 0.0157 0.3411 0.0769
Na: 0.0209 0.3551 0.6001
Na: 0.3170 0.3230 0.4087
Na: 0.3230 0.3170 0.9087
Na: 0.3411 0.0157 0.5769
Na: 0.3551 0.0209 0.1001
Na: 0.6449 0.9791 0.8999
Na: 0.6589 0.9843 0.4231
Na: 0.6770 0.6830 0.0913
Na: 0.6830 0.6770 0.5913
Na: 0.9791 0.6449 0.3999
Na: 0.9843 0.6589 0.9231
Cd: 0.2408 0.5887 0.7102
Cd: 0.4113 0.7592 0.7898
Cd: 0.5887 0.2408 0.2102
Cd: 0.7592 0.4113 0.2898

Calculated values
Formation enthalpy at 0 K: -14 meV per atom
M_tot: 0.00 μB per cell
Calculated volume: 776.4 Å³ per cell
ρ: 1886 kg/m³
E: -24.153 eV/cell
Energy above the lowest structure with this stoichiometry: 7 meV/atom

***

[11]
Density functional theory data (PBE-GGA) for Tm8Ir2Pd after structural relaxation.

Cell lengths 7.5106, 7.5106, 5.6757 Å; angles 99.44, 99.44, 111.76 degrees
Fractional positions:
Tm: 0.0000 0.0000 0.0000
Tm: 0.0304 0.2911 0.5937
Tm: 0.1399 0.5927 0.1862
Tm: 0.2911 0.0304 0.5937
Tm: 0.4378 0.6984 0.7855
Tm: 0.5927 0.1399 0.1862
Tm: 0.6984 0.4378 0.7855
Tm: 0.7357 0.7357 0.3749
Ir: 0.0527 0.6754 0.6868
Ir: 0.6754 0.0527 0.6868
Pd: 0.3662 0.3662 0.0667

Calculated values
Formation enthalpy at 0 K: -518 meV per atom
M_tot: 0.00 μB per cell
Calculated volume: 284.4 Å³ per cell
ρ: 10759 kg/m³
E: -64.383 eV/cell
Energy above the lowest structure with this stoichiometry: 54 meV/atom

***

[12]
Density functional theory data (PBE-GGA) for AcLaPm2In4 after structural relaxation.

Cell lengths 9.6755, 9.6755, 9.6755 Å; angles 33.48, 33.48, 33.48 degrees
Fractional positions:
Ac: 0.0000 0.0000 0.0000
La: 0.5000 0.5000 0.5000
Pm: 0.2499 0.2499 0.2499
Pm: 0.7501 0.7501 0.7501
In: 0.1265 0.1265 0.1265
In: 0.3767 0.3767 0.3767
In: 0.6233 0.6233 0.6233
In: 0.8735 0.8735 0.8735

Calculated values
Formation enthalpy at 0 K: -465 meV per atom
M_tot: 0.00 μB per cell
Calculated volume: 245.5 Å³ per cell
ρ: 7543 kg/m³
E: -33.213 eV/cell

***

[13]
Density functional theory data (PBE-GGA) for GaIrW3 after structural relaxation.

Cell lengths 4.7658, 4.7658, 4.7658 Å; angles 90.00, 90.00, 90.00 degrees
Fractional positions:
Ga: 0.0000 0.0000 0.0000
Ir: 0.5000 0.5000 0.5000
W: 0.0000 0.5000 0.5000
W: 0.5000 0.0000 0.5000
W: 0.5000 0.5000 0.0000

Calculated values
Formation enthalpy at 0 K: 1915 meV per atom
M_tot: 0.00 μB per cell
Calculated volume: 108.2 Å³ per cell
ρ: 12479 kg/m³
E: -41.172 eV/cell
Energy above the lowest structure with this stoichiometry: 60 meV/atom